# 1
Density functional theory data (PBE) for SrSbRu2 after structural relaxation.

Calculated values
uncorrected formation energy	1.360	eV per formula unit
symmetry	P2/m, No. 10
V	85.6	Å³/cell

Lattice parameters (Å, degrees): 3.1868 4.1898 6.5912 90.00 103.30 90.00
Sites, in units of the cell vectors:
Sr 0.0000 0.0000 0.0000
Sb 0.0000 0.0000 0.5000
Ru 0.3693 0.5000 0.6887
Ru 0.6307 0.5000 0.3113

# 2
Density functional theory data (PBE) for RbIn2Ag2 after structural relaxation.

Calculated values
distance to the lowest polymorph of the same formula	57.1	meV per atom
symmetry	P4/mbm, No. 127
ΔE_f	0.0181	eV per atom
V	254.8	Å³/cell

Lattice parameters (Å, degrees): 9.1751 9.1751 3.0272 90.00 90.00 90.00
Sites, in units of the cell vectors:
Rb 0.0000 0.0000 0.0000
Rb 0.5000 0.5000 0.0000
In 0.1361 0.3639 0.5000
In 0.3639 0.8639 0.5000
In 0.6361 0.1361 0.5000
In 0.8639 0.6361 0.5000
Ag 0.1537 0.6537 0.0000
Ag 0.3463 0.1537 0.0000
Ag 0.6537 0.8463 0.0000
Ag 0.8463 0.3463 0.0000

# 3
Density functional theory data (PBE) for Ho14ErIn after structural relaxation.

Calculated values
symmetry	P4/mmm, No. 123
ΔE_f	-0.0281	eV per atom
V	485.2	Å³/cell

Lattice parameters (Å, degrees): 6.9907 6.9907 9.9276 90.00 90.00 90.00
Sites, in units of the cell vectors:
Ho 0.0000 0.0000 0.0000
Ho 0.0000 0.5000 0.0000
Ho 0.0000 0.5000 0.5000
Ho 0.2501 0.2501 0.2521
Ho 0.2501 0.2501 0.7479
Ho 0.2501 0.7499 0.2521
Ho 0.2501 0.7499 0.7479
Ho 0.5000 0.0000 0.0000
Ho 0.5000 0.0000 0.5000
Ho 0.5000 0.5000 0.0000
Ho 0.7499 0.2501 0.2521
Ho 0.7499 0.2501 0.7479
Ho 0.7499 0.7499 0.2521
Ho 0.7499 0.7499 0.7479
Er 0.0000 0.0000 0.5000
In 0.5000 0.5000 0.5000

# 4
Density functional theory data (PBE) for BaTaF7 after structural relaxation.

Calculated values
distance to the lowest polymorph of the same formula	10.8	meV per atom
uncorrected formation energy	-31.726	eV per formula unit
symmetry	P2_1/c, No. 14
V	640.6	Å³/cell

Lattice parameters (Å, degrees): 4.9847 10.2491 12.7767 90.00 101.09 90.00
Sites, in units of the cell vectors:
Ba 0.2405 0.1667 0.4919
Ba 0.2405 0.3333 0.9919
Ba 0.7595 0.6667 0.0081
Ba 0.7595 0.8333 0.5081
Ta 0.3465 0.5255 0.6816
Ta 0.3465 0.9745 0.1816
Ta 0.6535 0.0255 0.8184
Ta 0.6535 0.4745 0.3184
F 0.0496 0.6503 0.6641
F 0.0496 0.8497 0.1641
F 0.1319 0.0934 0.0821
F 0.1319 0.4066 0.5821
F 0.2112 0.0603 0.2955
F 0.2112 0.4397 0.7955
F 0.2555 0.5876 0.0091
F 0.2555 0.9124 0.5091
F 0.3598 0.5944 0.3106
F 0.3598 0.9056 0.8106
F 0.4317 0.1322 0.7097
F 0.4317 0.3678 0.2097
F 0.4727 0.6221 0.5709
F 0.4727 0.8779 0.0709
F 0.5273 0.1221 0.9291
F 0.5273 0.3779 0.4291
F 0.5683 0.6322 0.7903
F 0.5683 0.8678 0.2903
F 0.6402 0.0944 0.1894
F 0.6402 0.4056 0.6894
F 0.7445 0.0876 0.4909
F 0.7445 0.4124 0.9909
F 0.7888 0.5603 0.2045
F 0.7888 0.9397 0.7045
F 0.8681 0.5934 0.4179
F 0.8681 0.9066 0.9179
F 0.9504 0.1503 0.8359
F 0.9504 0.3497 0.3359

# 5
Density functional theory data (PBE) for RbV2CrFe after structural relaxation.

Calculated values
symmetry	P4/mmm, No. 123
ΔE_f	1.2389	eV per atom
V	105.6	Å³/cell

Lattice parameters (Å, degrees): 4.6372 4.6372 4.9088 90.00 90.00 90.00
Sites, in units of the cell vectors:
Rb 0.0000 0.0000 0.0000
V 0.0000 0.5000 0.5000
V 0.5000 0.0000 0.5000
Cr 0.5000 0.5000 0.0000
Fe 0.5000 0.5000 0.5000

# 6
Density functional theory data (PBE) for CsHgIBr2 after structural relaxation.

Calculated values
distance to the lowest polymorph of the same formula	0.0	meV per atom
uncorrected formation energy	-4.779	eV per formula unit
symmetry	P2_1/m, No. 11
V	468.9	Å³/cell

Lattice parameters (Å, degrees): 8.1759 6.8028 8.6598 90.00 103.21 90.00
Sites, in units of the cell vectors:
Cs 0.2001 0.2500 0.3082
Cs 0.7999 0.7500 0.6918
Hg 0.4136 0.2500 0.8418
Hg 0.5864 0.7500 0.1582
I 0.0700 0.2500 0.7502
I 0.9300 0.7500 0.2498
Br 0.3977 0.7500 0.3665
Br 0.4217 0.7500 0.8597
Br 0.5783 0.2500 0.1403
Br 0.6023 0.2500 0.6335